1.
This record from Alexandria via LeMat-Bulk describes a relaxed Nd3Sb4Rh8 crystal. The functional is GGA-PBE.

abc: 9.3179 9.3179 9.3179
angles: 60.00 60.00 60.00
Last column: nearest neighbours and their distance in Å.
Atoms (fractional coordinates):
Rh: 0.6677 0.9969 0.6677  3 Sb 2.69, 3 Rh 2.90
Nd: 0.2723 0.2723 0.7277  5 Sb 3.00-3.31, 8 Rh 3.01-3.22
Rh: 0.0031 0.3323 0.3323  3 Sb 2.69, 3 Rh 2.90
Rh: 0.1217 0.1217 0.6349  4 Sb 2.78-2.88, 3 Rh 2.90, 3 Nd 3.01
Nd: 0.7277 0.2723 0.2723  5 Sb 3.00-3.31, 8 Rh 3.01-3.22
Sb: 0.0000 0.0000 0.0000  8 Rh 2.78
Rh: 0.6677 0.6677 0.6677  3 Sb 2.69, 3 Rh 2.90
Rh: 0.8783 0.8783 0.8783  4 Sb 2.78-2.88, 3 Rh 2.90, 3 Nd 3.01
Sb: 0.5000 0.5000 0.0000  8 Rh 2.69-2.88
Sb: 0.0000 0.0000 0.5000  8 Rh 2.69-2.88
Nd: 0.7277 0.2723 0.7277  5 Sb 3.00-3.31, 8 Rh 3.01-3.22
Rh: 0.1217 0.1217 0.1217  4 Sb 2.78-2.88, 3 Rh 2.90, 3 Nd 3.01
Rh: 0.3323 0.3323 0.3323  3 Sb 2.69, 3 Rh 2.90
Sb: 0.5000 0.0000 0.5000  8 Rh 2.69-2.88
Rh: 0.3651 0.8783 0.8783  4 Sb 2.78-2.88, 3 Rh 2.90, 3 Nd 3.01
Rh: 0.3323 0.0031 0.3323  3 Sb 2.69, 3 Rh 2.90
Nd: 0.2723 0.7277 0.2723  5 Sb 3.00-3.31, 8 Rh 3.01-3.22
Rh: 0.6349 0.1217 0.1217  4 Sb 2.78-2.88, 3 Rh 2.90, 3 Nd 3.01
Sb: 0.5000 0.0000 0.0000  8 Rh 2.69-2.88
Rh: 0.8783 0.8783 0.3651  4 Sb 2.78-2.88, 3 Rh 2.90, 3 Nd 3.01
Rh: 0.6677 0.6677 0.9969  3 Sb 2.69, 3 Rh 2.90
Rh: 0.3323 0.3323 0.0031  3 Sb 2.69, 3 Rh 2.90
Rh: 0.8783 0.3651 0.8783  4 Sb 2.78-2.88, 3 Rh 2.90, 3 Nd 3.01
Nd: 0.7277 0.7277 0.2723  5 Sb 3.00-3.31, 8 Rh 3.01-3.22
Rh: 0.1217 0.6349 0.1217  4 Sb 2.78-2.88, 3 Rh 2.90, 3 Nd 3.01
Sb: 0.0000 0.5000 0.5000  8 Rh 2.69-2.88
Sb: 0.5000 0.5000 0.5000  6 Nd 3.00
Rh: 0.9969 0.6677 0.6677  3 Sb 2.69, 3 Rh 2.90
Nd: 0.2723 0.7277 0.7277  5 Sb 3.00-3.31, 8 Rh 3.01-3.22
Sb: 0.0000 0.5000 0.0000  8 Rh 2.69-2.88

ΔE_f (raw): -10.2 eV/f.u.
Size of the total moment: 0.0 μB/cell



2.
This record from Alexandria via LeMat-Bulk describes a relaxed Ti2ZnN crystal. The functional is GGA-PBE.

abc: 6.0573 6.0573 5.3417
angles: 55.46 55.46 90.00
Last column: nearest neighbours and their distance in Å.
Atoms (fractional coordinates):
Ti: 0.2136 0.6250 0.2500  2 N 1.97
Zn: 0.7500 0.2500 0.5000  4 Ti 2.67
N: 0.5000 0.5000 0.0000  4 Ti 1.97
Ti: 0.8750 0.7864 0.7500  2 N 1.97
Zn: 0.0000 0.0000 0.0000  4 Ti 2.67
Ti: 0.3750 0.4636 0.7500  2 N 1.97
Ti: 0.5364 0.1250 0.2500  2 N 1.97
N: 0.2500 0.7500 0.5000  4 Ti 1.97

ΔE_f (raw): -2.1 eV/f.u.
Size of the total moment: 1.9 μB/cell



Question: Which of these has the highest ΔE_f (raw)?
Answer: Ti2ZnN



Question: Look up the size of the total moment of the second one.
Answer: 1.9 μB/cell



What did the second record say?
This record from Alexandria via LeMat-Bulk describes a relaxed Ti2ZnN crystal. The functional is GGA-PBE.

abc: 6.0573 6.0573 5.3417
angles: 55.46 55.46 90.00
Last column: nearest neighbours and their distance in Å.
Atoms (fractional coordinates):
Ti: 0.2136 0.6250 0.2500  2 N 1.97
Zn: 0.7500 0.2500 0.5000  4 Ti 2.67
N: 0.5000 0.5000 0.0000  4 Ti 1.97
Ti: 0.8750 0.7864 0.7500  2 N 1.97
Zn: 0.0000 0.0000 0.0000  4 Ti 2.67
Ti: 0.3750 0.4636 0.7500  2 N 1.97
Ti: 0.5364 0.1250 0.2500  2 N 1.97
N: 0.2500 0.7500 0.5000  4 Ti 1.97

ΔE_f (raw): -2.1 eV/f.u.
Size of the total moment: 1.9 μB/cell



Question: Which of these has the lowest ΔE_f (raw)?
Answer: Nd3Sb4Rh8